# Zn2SbWO6 (PBE with a Hubbard U, optimized geometry)
data_Zn2SbWO6
_chemical_formula_sum 'Zn2 Sb1 W1 O6'
_cell_length_a 5.1988
_cell_length_b 6.2158
_cell_length_c 6.0307
_cell_angle_alpha 77.61
_cell_angle_beta 79.66
_cell_angle_gamma 56.78
_space_group_name_H-M_alt 'P 1'
_space_group_IT_number 1
loop_
_space_group_symop_operation_xyz
'x,y,z'
loop_
_atom_site_label
_atom_site_fract_x
_atom_site_fract_y
_atom_site_fract_z
O1 0.3101 0.9437 0.1640
O2 0.4063 0.8896 0.7275
O3 0.8257 0.1464 0.6344
O4 0.1097 0.3755 0.7886
O5 0.6990 0.3562 0.0788
O6 0.9210 0.8314 0.0438
Sb1 0.4048 0.3366 0.5146
Zn1 0.7359 0.6710 0.9468
Zn2 0.2380 0.8581 0.4829
W1 0.0231 0.0765 0.9438
# Crystal system   triclinic
# Energy above the lowest structure with this stoichiometry   0.068 eV/atom
# Energy   -5.771 eV/atom
# D(E_F)   1.5 states/eV/f.u.